Record 1
VASP calculation (PBE) on an optimized crystal structure of KDyCd17.

Lattice parameters (Å, degrees): 10.1980 10.1980 15.1479 90.00 90.00 120.00
Closest atoms and distances in Å follow each position.
Space group R3m (No. 160, hexagonal axes)
Asymmetric unit:
K 0.0000 0.0000 0.0000 (multiplicity 3)  16 Cd 3.61-3.76
Dy 0.0000 0.0000 0.6651 (multiplicity 3)  13 Cd 3.35-3.57
Cd 0.0000 0.0000 0.2462 (multiplicity 3)  10 Cd 2.98-3.33
Cd 0.0000 0.0000 0.4441 (multiplicity 3)  7 Cd 3.00-3.28, 1 Dy 3.35
Cd 0.0029 0.2997 0.3363 (multiplicity 18)  8 Cd 2.94-3.30
Cd 0.0183 0.5091 0.1938 (multiplicity 9)  9 Cd 2.92-3.26
Cd 0.0261 0.5130 0.8312 (multiplicity 9)  10 Cd 2.94-3.28
Cd 0.0511 0.5255 0.4843 (multiplicity 9)  6 Cd 2.92-3.12

Properties
For the formation energy from the elements, the calculation gives -1.45 eV/f.u.

=====

Record 2
VASP calculation (PBE) on an optimized crystal structure of KDyCd2Pb2.

Lattice parameters (Å, degrees): 4.9943 4.9943 8.9249 90.00 90.00 120.00
Closest atoms and distances in Å follow each position.
Space group P-3m1 (No. 164)
Asymmetric unit:
K 0.0000 0.0000 0.0000 (multiplicity 1)  6 Pb 3.72
Dy 0.0000 0.0000 0.5000 (multiplicity 1)  6 Cd 3.17
Cd 0.3333 0.6667 0.6474 (multiplicity 2)  3 Pb 2.99, 3 Dy 3.17
Pb 0.3333 0.6667 0.2625 (multiplicity 2)  3 Cd 2.99

Properties
For the formation energy from the elements, the calculation gives -1.41 eV/f.u.

=====

Record 3
VASP calculation (PBE) on an optimized crystal structure of K2DyCd2Se4.

Lattice parameters (Å, degrees): 16.6486 4.1813 8.3445 90.00 114.27 90.00
Closest atoms and distances in Å follow each position.
Space group C2/m (No. 12)
Asymmetric unit:
K 0.1258 0.0000 0.0608 (multiplicity 4)  7 Se 3.33-3.63, 1 Cd 3.61
Dy 0.0000 0.0000 0.5000 (multiplicity 2)  6 Se 2.92-2.93
Cd 0.1875 0.5000 0.5179 (multiplicity 4)  3 Se 2.69-2.73
Se 0.0203 0.5000 0.2742 (multiplicity 4)  1 Cd 2.69, 2 Dy 2.93
Se 0.1882 0.0000 0.7293 (multiplicity 4)  2 Cd 2.73, 1 Dy 2.92

=====

no.,energy (eV/atom),DOS(E_F) (states/eV per atom)
1,-1.19,0.394
2,-2.73,0.330
3,-3.60,0.376